KSiS2: optimized geometry, GGA-PBE.

Unit cell a=7.0665 b=7.0665 c=7.0665 alpha=123.73 beta=123.73 gamma=83.65
Positions (direct):
K  0.0000  0.0000  0.0000
K  0.7500  0.2500  0.5000
Si  0.2500  0.7500  0.5000
Si  0.5000  0.5000  0.0000
S  0.2474  0.6250  0.1224
S  0.3750  0.4974  0.6224
S  0.5026  0.1250  0.8776
S  0.8750  0.7526  0.3776

Results
**E_tot**: -4.3290 eV/atom
**Raw formation energy**: -635 meV/atom
**Magnetization**: 0.00 μB/cell

RbYCu2Tc: optimized geometry, GGA-PBE.

Unit cell a=5.1180 b=5.1180 c=6.0244 alpha=90.00 beta=90.00 gamma=90.00
Positions (direct):
Rb  0.0000  0.0000  0.0000
Y  0.0000  0.0000  0.5000
Cu  0.0000  0.5000  0.5000
Cu  0.5000  0.0000  0.5000
Tc  0.5000  0.5000  0.0000

Results
**E_tot**: -3.2992 eV/atom
**ΔH_f (0 K)**: 1.90 eV/atom
**Magnetization**: 3.59 μB/cell

Co6NiRh2: optimized geometry, GGA-PBE.

Unit cell a=6.7920 b=6.7920 c=6.7920 alpha=145.00 beta=139.33 gamma=54.71
Positions (direct):
Co  0.0398  0.8004  0.2394
Co  0.2534  0.0000  0.2534
Co  0.4390  0.1996  0.2394
Co  0.5610  0.8004  0.7606
Co  0.7466  0.0000  0.7466
Co  0.9602  0.1996  0.7606
Ni  0.0000  0.5000  0.5000
Rh  0.3914  0.3914  0.0000
Rh  0.6086  0.6086  0.0000

Results
**E_tot**: -6.6688 eV/atom
**ΔH_f (0 K)**: 0.34 eV/atom
**Magnetization**: 13.14 μB/cell

BaHf2W: optimized geometry, GGA-PBE.

Unit cell a=9.5126 b=9.5126 c=9.5126 alpha=143.86 beta=143.86 gamma=52.04
Positions (direct):
Ba  0.3750  0.6250  0.7500
Ba  0.6250  0.3750  0.2500
Hf  0.0000  0.0000  0.0000
Hf  0.0000  0.0000  0.5000
Hf  0.0000  0.5000  0.0000
Hf  0.5000  0.0000  0.5000
W  0.1250  0.8750  0.2500
W  0.8750  0.1250  0.7500

Results
**E_tot**: -7.2960 eV/atom
**ΔH_f (0 K)**: 1.40 eV/atom
**Magnetization**: 0.00 μB/cell

RbCdBiF6: optimized geometry, GGA-PBE.

Unit cell a=8.4183 b=8.4183 c=8.4183 alpha=122.33 beta=118.97 gamma=88.90
Positions (direct):
Rb  0.2902  0.0402  0.2500
Rb  0.7098  0.9598  0.7500
Cd  0.0000  0.0000  0.5000
Cd  0.0000  0.5000  0.0000
Bi  0.0000  0.5000  0.5000
Bi  0.5000  0.5000  0.0000
F  0.0490  0.4013  0.2228
F  0.0490  0.8262  0.6477
F  0.0652  0.8152  0.2500
F  0.3215  0.1738  0.7228
F  0.3215  0.5987  0.1477
F  0.3225  0.5725  0.7500
F  0.6775  0.4275  0.2500
F  0.6785  0.4013  0.8523
F  0.6785  0.8262  0.2772
F  0.9348  0.1848  0.7500
F  0.9510  0.1738  0.3523
F  0.9510  0.5987  0.7772

Results
**E_tot**: -4.3069 eV/atom
**Raw formation energy**: -2419 meV/atom
**Magnetization**: 0.00 μB/cell

Tb6Pr2NdDy: optimized geometry, GGA-PBE.

Unit cell a=8.8352 b=8.8352 c=9.8180 alpha=94.62 beta=94.62 gamma=117.96
Positions (direct):
Tb  0.0204  0.5733  0.1871
Tb  0.1220  0.7400  0.5572
Tb  0.2600  0.8780  0.9428
Tb  0.2958  0.5076  0.3805
Tb  0.4267  0.9796  0.3129
Tb  0.4924  0.7042  0.1195
Tb  0.5076  0.2958  0.8805
Tb  0.5733  0.0204  0.6871
Tb  0.7042  0.4924  0.6195
Tb  0.7400  0.1220  0.0572
Tb  0.8780  0.2600  0.4428
Tb  0.9796  0.4267  0.8129
Pr  0.1938  0.2951  0.0422
Pr  0.2951  0.1938  0.5422
Pr  0.7049  0.8062  0.4578
Pr  0.8062  0.7049  0.9578
Nd  0.0169  0.9831  0.2500
Nd  0.9831  0.0169  0.7500
Dy  0.4069  0.5931  0.7500
Dy  0.5931  0.4069  0.2500

Results
**E_tot**: -4.5547 eV/atom
**ΔH_f (0 K)**: 0.12 eV/atom
**Magnetization**: 0.00 μB/cell

FeNiPdRh: optimized geometry, GGA-PBE.

Unit cell a=4.2428 b=4.2428 c=4.2428 alpha=60.00 beta=60.00 gamma=60.00
Positions (direct):
Fe  0.0000  0.0000  0.0000
Ni  0.5000  0.5000  0.5000
Pd  0.7500  0.7500  0.7500
Rh  0.2500  0.2500  0.2500

Results
**E_tot**: -6.6650 eV/atom
**ΔH_f (0 K)**: 0.03 eV/atom
**Magnetization**: 5.22 μB/cell

Er4CuIr: optimized geometry, GGA-PBE.

Unit cell a=6.1092 b=6.7308 c=7.5873 alpha=90.00 beta=108.28 gamma=90.00
Positions (direct):
Er  0.0039  0.0000  0.2472
Er  0.0039  0.5000  0.2472
Er  0.4259  0.2500  0.1031
Er  0.4332  0.2500  0.6120
Er  0.5668  0.7500  0.3880
Er  0.5741  0.7500  0.8969
Er  0.9961  0.0000  0.7528
Er  0.9961  0.5000  0.7528
Cu  0.2198  0.7500  0.5576
Cu  0.7802  0.2500  0.4424
Ir  0.2235  0.7500  0.0535
Ir  0.7765  0.2500  0.9465

Results
**E_tot**: -5.6124 eV/atom
**ΔH_f (0 K)**: -0.41 eV/atom
**Magnetization**: 0.00 μB/cell

AcGa2Ge2: optimized geometry, GGA-PBE.

Unit cell a=8.7733 b=8.7733 c=8.7733 alpha=27.99 beta=27.99 gamma=27.99
Positions (direct):
Ac  0.0000  0.0000  0.0000
Ga  0.2246  0.2246  0.2246
Ga  0.7754  0.7754  0.7754
Ge  0.4197  0.4197  0.4197
Ge  0.5803  0.5803  0.5803

Results
**E_tot**: -4.0809 eV/atom
**ΔH_f (0 K)**: -0.20 eV/atom
**Magnetization**: 0.00 μB/cell

ZnBIO2: optimized geometry, GGA-PBE.

Unit cell a=3.4941 b=3.4941 c=6.0459 alpha=90.00 beta=90.00 gamma=90.00
Positions (direct):
Zn  0.0000  0.0000  0.0000
B  0.5000  0.5000  0.5000
I  0.5000  0.5000  0.0000
O  0.0000  0.5000  0.5000
O  0.5000  0.0000  0.5000

Results
**E_tot**: -3.6776 eV/atom
**Raw formation energy**: 206 meV/atom
**Magnetization**: 0.12 μB/cell